The following is a DFT calculation (PBE) of crystalline UP2S8 at its relaxed geometry.

Structure (POSCAR):
```
UP2S8
1.0
-2.378 -3.418 -4.706
5.739 -5.211 -1.189
-5.627 -4.025 3.693
S P U
8 2 1
Direct
0.812 0.980 0.712
0.383 0.766 0.766
0.188 0.288 0.020
0.812 0.712 0.980
0.617 0.234 0.234
0.823 0.527 0.527
0.188 0.020 0.288
0.177 0.473 0.473
0.712 0.761 0.761
0.288 0.239 0.239
0.000 0.000 0.000
```

Summary:
Formation energy without anion corrections: -4.69 eV/f.u.
Energy above the most stable polymorph in this dataset: 0 meV/atom
Calculated density: 2.62 Mg/m³